Entry 1:
Entry from Alexandria via LeMat-Bulk: crystalline V2CrMo2 at its relaxed geometry (PBE-GGA).

Output
ΔE to the lowest computed polymorph, meV per atom: 0
Fermi-level density of states, states/eV per cell: 6.1
Formation energy from the elements, eV per atom: -0.088
Volume, Å³/cell: 140.3

Cell lengths 4.266, 4.328, 7.885 Å; angles 90.00, 105.53, 90.00 degrees
Space group P2_1/m (No. 11)
Unique sites:
V 0.052 0.250 0.104 (multiplicity 2)
V 0.248 0.250 0.497 (multiplicity 2)
Cr 0.149 0.750 0.299 (multiplicity 2)
Mo 0.347 0.750 0.694 (multiplicity 2)
Mo 0.447 0.250 0.894 (multiplicity 2)

***

Entry 2:
Entry from Alexandria via LeMat-Bulk: crystalline PmDy2YTm5 at its relaxed geometry (PBE-GGA).

Output
Fermi-level density of states, states/eV per cell: 44.4
Formation energy from the elements, eV per atom: 0.290
Volume, Å³/cell: 1143.6

Cell lengths 8.851, 8.851, 14.598 Å; angles 90.00, 90.00, 90.00 degrees
Space group I4/mcm (No. 140)
Unique sites:
Pm 0.000 0.000 0.250 (multiplicity 4)
Dy 0.113 0.387 0.000 (multiplicity 8)
Y 0.000 0.500 0.250 (multiplicity 4)
Tm 0.000 0.000 0.000 (multiplicity 4)
Tm 0.206 0.294 0.368 (multiplicity 16)

***

Entry 3:
Entry from Alexandria via LeMat-Bulk: crystalline Cr2MoAs at its relaxed geometry (PBE-GGA).

Output
Fermi-level density of states, states/eV per cell: 7.2
Formation energy from the elements, eV per atom: 0.102
Volume, Å³/cell: 107.0

Cell lengths 3.115, 4.054, 8.478 Å; angles 90.00, 90.00, 90.00 degrees
Space group Immm (No. 71)
Unique sites:
Cr 0.000 0.000 0.248 (multiplicity 4)
Mo 0.000 0.500 0.000 (multiplicity 2)
As 0.000 0.500 0.500 (multiplicity 2)

***

Entry 4:
Entry from Alexandria via LeMat-Bulk: crystalline CaLaTl2 at its relaxed geometry (PBE-GGA).

Output
Fermi-level density of states, states/eV per cell: 8.8
Formation energy from the elements, eV per atom: 0.179
Volume, Å³/cell: 295.7

Cell lengths 3.580, 6.307, 13.098 Å; angles 90.00, 90.00, 90.00 degrees
Space group Immm (No. 71)
Unique sites:
Ca 0.000 0.000 0.000 (multiplicity 2)
La 0.000 0.000 0.500 (multiplicity 2)
Tl 0.000 0.000 0.247 (multiplicity 4)

***

Entry 5:
Entry from Alexandria via LeMat-Bulk: crystalline MgIn3 at its relaxed geometry (PBE-GGA).

Output
Fermi-level density of states, states/eV per cell: 1.2
Formation energy from the elements, eV per atom: 0.508
Volume, Å³/cell: 172.6

Cell lengths 5.567, 5.567, 5.567 Å; angles 90.00, 90.00, 90.00 degrees
Space group Pm-3m (No. 221)
Unique sites:
Mg 0.000 0.000 0.000 (multiplicity 1)
In 0.000 0.000 0.500 (multiplicity 3)

***

Entry 6:
Entry from Alexandria via LeMat-Bulk: crystalline Pm3Dy5Tm3 at its relaxed geometry (PBE-GGA).

Output
Fermi-level density of states, states/eV per cell: 16.3
Formation energy from the elements, eV per atom: 0.340
Volume, Å³/cell: 367.6

Cell lengths 11.1372, 11.1372, 3.4220 Å; angles 90.00, 90.00, 120.00 degrees
Space group P-62m (No. 189)
Unique sites:
Pm 0.0000 0.3401 0.0000 (multiplicity 3)
Dy 0.0000 0.8398 0.0000 (multiplicity 3)
Dy 0.3333 0.6667 0.0000 (multiplicity 2)
Tm 0.0000 0.5932 0.5000 (multiplicity 3)

***

Entry 7:
Entry from Alexandria via LeMat-Bulk: crystalline Ba4NaHg at its relaxed geometry (PBE-GGA).

Output
ΔE to the lowest computed polymorph, meV per atom: 100
Fermi-level density of states, states/eV per cell: 16.1
Formation energy from the elements, eV per atom: -0.074
Volume, Å³/cell: 679.7

Cell lengths 8.788, 8.744, 8.902 Å; angles 90.00, 96.42, 90.00 degrees
Space group P2_1/c (No. 14)
Unique sites:
Ba 0.139 0.166 0.187 (multiplicity 4)
Ba 0.337 0.646 0.123 (multiplicity 4)
Na 0.500 0.000 0.000 (multiplicity 2)
Hg 0.000 0.000 0.500 (multiplicity 2)

***

Entry 8:
Entry from Alexandria via LeMat-Bulk: crystalline ScTl2Te at its relaxed geometry (PBE-GGA).

Output
ΔE to the lowest computed polymorph, meV per atom: 133
Fermi-level density of states, states/eV per cell: 4.5
Volume, Å³/cell: 225.4
Energy relative to the elements, uncorrected, eV/f.u.: -1.15

Cell lengths 3.789, 5.544, 10.733 Å; angles 90.00, 90.00, 90.00 degrees
Space group Imm2 (No. 44)
Unique sites:
Sc 0.000 0.000 0.000 (multiplicity 2)
Tl 0.000 0.000 0.478 (multiplicity 2)
Tl 0.000 0.500 0.252 (multiplicity 2)
Te 0.000 0.500 0.701 (multiplicity 2)

***

Entry 9:
Entry from Alexandria via LeMat-Bulk: crystalline LaCd3Sb at its relaxed geometry (PBE-GGA).

Output
ΔE to the lowest computed polymorph, meV per atom: 584
Fermi-level density of states, states/eV per cell: 5.9
Volume, Å³/cell: 212.7
Energy relative to the elements, uncorrected, eV/f.u.: 4.28

Cell lengths 5.970, 5.970, 5.970 Å; angles 90.00, 90.00, 90.00 degrees
Space group Pm-3m (No. 221)
Unique sites:
La 0.000 0.000 0.000 (multiplicity 1)
Cd 0.000 0.000 0.500 (multiplicity 3)
Sb 0.500 0.500 0.500 (multiplicity 1)

***

Entry 10:
Entry from Alexandria via LeMat-Bulk: crystalline Sr2TlReTc at its relaxed geometry (PBE-GGA).

Output
Fermi-level density of states, states/eV per cell: 10.3
Formation energy from the elements, eV per atom: 1.865
Volume, Å³/cell: 190.3

Cell lengths 6.084, 6.084, 5.142 Å; angles 90.00, 90.00, 90.00 degrees
Space group P4/mmm (No. 123)
Unique sites:
Sr 0.000 0.500 0.000 (multiplicity 2)
Tl 0.000 0.000 0.000 (multiplicity 1)
Re 0.500 0.500 0.500 (multiplicity 1)
Tc 0.000 0.000 0.500 (multiplicity 1)

***

Entry 11:
Entry from Alexandria via LeMat-Bulk: crystalline Pr5Dy4Y at its relaxed geometry (PBE-GGA).

Output
Fermi-level density of states, states/eV per cell: 31.1
Formation energy from the elements, eV per atom: 0.140
Volume, Å³/cell: 701.3

Cell lengths 18.380, 3.620, 10.602 Å; angles 90.00, 96.12, 90.00 degrees
Space group C2/m (No. 12)
Unique sites:
Pr 0.000 0.000 0.000 (multiplicity 2)
Pr 0.142 0.500 0.729 (multiplicity 4)
Pr 0.190 0.500 0.100 (multiplicity 4)
Dy 0.046 0.500 0.263 (multiplicity 4)
Dy 0.182 0.000 0.414 (multiplicity 4)
Y 0.000 0.000 0.500 (multiplicity 2)